Record 1
A plane-wave DFT calculation with PBE was carried out for crystalline Ce2Nd3ThN6 at its relaxed geometry.

abc: 6.2804 6.2804 6.2783
angles: 99.60 99.60 119.98
Closest atoms and distances in Å follow each position.
Element x y z (fractional)
Ce: 0.1665 0.8335 0.0000  6 N 2.50-2.51
Ce: 0.8335 0.1665 0.0000  6 N 2.50-2.51
Nd: 0.0000 0.0000 0.5000  6 N 2.61-2.62
Nd: 0.3318 0.6682 0.5000  6 N 2.60-2.63
Nd: 0.6682 0.3318 0.5000  6 N 2.60-2.63
Th: 0.5000 0.5000 0.0000  6 N 2.52
N: 0.0867 0.4218 0.7654  2 Ce 2.51, 1 Th 2.52, 3 Nd 2.60-2.62
N: 0.2429 0.2429 0.2343  2 Ce 2.50, 1 Th 2.52, 3 Nd 2.61-2.63
N: 0.4218 0.0867 0.7654  2 Ce 2.51, 1 Th 2.52, 3 Nd 2.60-2.62
N: 0.5782 0.9133 0.2346  2 Ce 2.51, 1 Th 2.52, 3 Nd 2.60-2.62
N: 0.7571 0.7571 0.7657  2 Ce 2.50, 1 Th 2.52, 3 Nd 2.61-2.63
N: 0.9133 0.5782 0.2346  2 Ce 2.51, 1 Th 2.52, 3 Nd 2.60-2.62

Its symmetry is C2/m, No. 12. The formation energy from raw total energies comes out at -143 kJ/mol of atoms. Its crystal system is monoclinic.

---

Record 2
A plane-wave DFT calculation with PBE was carried out for crystalline Pm5Sn2Ge2 at its relaxed geometry.

abc: 10.2987 10.2987 10.2987
angles: 67.07 126.07 143.20
Closest atoms and distances in Å follow each position.
Element x y z (fractional)
Pm: 0.1141 0.3906 0.0224  2 Ge 2.84-2.96, 1 Sn 3.13
Pm: 0.1141 0.5917 0.2235  2 Ge 2.84-2.96, 1 Sn 3.13
Pm: 0.2281 0.0670 0.2951  2 Ge 3.05-3.12, 2 Pm 3.28, 1 Sn 3.30
Pm: 0.2281 0.4330 0.6611  2 Ge 3.05-3.12, 2 Pm 3.28, 1 Sn 3.30
Pm: 0.3682 0.0917 0.9776  2 Ge 2.84-2.96, 1 Sn 3.13
Pm: 0.3682 0.8906 0.7765  2 Ge 2.84-2.96, 1 Sn 3.13
Pm: 0.6789 0.4857 0.6932  2 Ge 2.92-3.26, 2 Sn 3.16
Pm: 0.7719 0.5670 0.3389  2 Ge 3.05-3.12, 2 Pm 3.28, 1 Sn 3.30
Pm: 0.7719 0.9330 0.7049  2 Ge 3.05-3.12, 2 Pm 3.28, 1 Sn 3.30
Pm: 0.7925 0.9857 0.3068  2 Ge 2.92-3.26, 2 Sn 3.16
Sn: 0.6517 0.1381 0.3569  1 Sn 2.95, 2 Pm 3.13-3.16, 1 Ge 3.17
Sn: 0.6517 0.7948 0.0136  1 Sn 2.95, 2 Pm 3.13-3.16, 1 Ge 3.17
Sn: 0.7812 0.2948 0.6431  1 Sn 2.95, 2 Pm 3.13-3.16, 1 Ge 3.17
Sn: 0.7812 0.6381 0.9864  1 Sn 2.95, 2 Pm 3.13-3.16, 1 Ge 3.17
Ge: 0.0951 0.9759 0.6193  4 Pm 2.92-3.26
Ge: 0.2841 0.2841 0.0000  6 Pm 2.84-3.12, 2 Sn 3.17
Ge: 0.2841 0.7841 0.5000  6 Pm 2.84-3.12, 2 Sn 3.17
Ge: 0.3566 0.4759 0.3807  4 Pm 2.92-3.26

Its energy above the most stable polymorph in this dataset is 0.117 eV per atom. Its symmetry is Ima2, No. 46. Its crystal system is orthorhombic.

---

Record 3
A plane-wave DFT calculation with PBE was carried out for crystalline KTaCl2 at its relaxed geometry.

abc: 3.1629 4.0812 6.8781
angles: 90.00 90.00 90.00
Closest atoms and distances in Å follow each position.
Element x y z (fractional)
K: 0.0000 0.0000 0.0000  2 K 3.16, 8 Cl 3.20
Ta: 0.5000 0.0000 0.5000  4 Cl 2.56
Cl: 0.5000 0.5000 0.2749  2 Ta 2.56
Cl: 0.5000 0.5000 0.7251  2 Ta 2.56

Its energy above the most stable polymorph in this dataset is 0.000 eV per atom. Its symmetry is Pmmm, No. 47. The formation energy from raw total energies comes out at -41 kJ/mol of atoms. Its crystal system is orthorhombic.

---

Record 4
A plane-wave DFT calculation with PBE was carried out for crystalline ThAgHg3 at its relaxed geometry.

abc: 7.8986 7.8986 6.8767
angles: 102.50 102.50 35.59
Closest atoms and distances in Å follow each position.
Element x y z (fractional)
Th: 0.1267 0.1267 0.4802  8 Hg 3.19-3.53, 3 Ag 3.35-3.37
Th: 0.8733 0.8733 0.5198  8 Hg 3.19-3.53, 3 Ag 3.35-3.37
Ag: 0.2823 0.2823 0.1967  5 Hg 2.92-3.07
Ag: 0.7177 0.7177 0.8033  5 Hg 2.92-3.07
Hg: 0.0933 0.0933 0.9460  5 Hg 2.95-3.12, 1 Ag 2.97
Hg: 0.3261 0.3261 0.7821  3 Ag 2.94-3.07, 3 Hg 3.02-3.12, 3 Th 3.19-3.24
Hg: 0.4812 0.4812 0.2788  1 Ag 2.92, 4 Hg 2.95-3.02
Hg: 0.5188 0.5188 0.7212  1 Ag 2.92, 4 Hg 2.95-3.02
Hg: 0.6739 0.6739 0.2179  3 Ag 2.94-3.07, 3 Hg 3.02-3.12, 3 Th 3.19-3.24
Hg: 0.9067 0.9067 0.0540  5 Hg 2.95-3.12, 1 Ag 2.97

Its energy above the most stable polymorph in this dataset is 0.078 eV per atom. Its symmetry is C2/m, No. 12. Its crystal system is monoclinic.

---

Record 5
A plane-wave DFT calculation with PBE was carried out for crystalline Y2SiAg2 at its relaxed geometry.

abc: 8.8252 8.8252 8.8252
angles: 155.43 155.43 35.03
Closest atoms and distances in Å follow each position.
Element x y z (fractional)
Y: 0.0962 0.0962 0.0000  4 Si 3.11, 4 Ag 3.20, 1 Y 3.24
Y: 0.9038 0.9038 0.0000  4 Si 3.11, 4 Ag 3.20, 1 Y 3.24
Si: 0.5000 0.5000 0.0000  8 Y 3.11
Ag: 0.2500 0.7500 0.5000  4 Ag 2.66
Ag: 0.7500 0.2500 0.5000  4 Ag 2.66

Its energy above the most stable polymorph in this dataset is 0.100 eV per atom. Its symmetry is I4/mmm, No. 139. The formation energy from raw total energies comes out at -15 kJ/mol of atoms. Its crystal system is tetragonal.

---

Record 6
A plane-wave DFT calculation with PBE was carried out for crystalline TbFe2B4 at its relaxed geometry.

abc: 7.3255 7.3255 7.3255
angles: 155.86 154.15 35.65
Closest atoms and distances in Å follow each position.
Element x y z (fractional)
Tb: 0.0000 0.0000 0.0000  12 B 2.68-2.75
Fe: 0.1930 0.6930 0.5000  3 B 2.05-2.07
Fe: 0.8070 0.3070 0.5000  3 B 2.05-2.07
B: 0.3413 0.8413 0.5000  2 B 1.70
B: 0.3948 0.3948 0.0000  2 B 1.70
B: 0.6052 0.6052 0.0000  2 B 1.70
B: 0.6587 0.1587 0.5000  2 B 1.70

The value obtained for the total energy is -7.21 eV per atom. Its symmetry is Immm, No. 71. Its crystal system is orthorhombic.

---

Record 7
A plane-wave DFT calculation with PBE was carried out for crystalline CsRbTl at its relaxed geometry.

abc: 11.7180 11.7180 11.7180
angles: 149.92 147.73 44.70
Closest atoms and distances in Å follow each position.
Element x y z (fractional)
Cs: 0.0965 0.0965 0.0000  4 Tl 4.17, 1 Cs 4.18
Cs: 0.9035 0.9035 0.0000  4 Tl 4.17, 1 Cs 4.18
Rb: 0.3271 0.3271 0.0000  2 Tl 4.04
Rb: 0.6729 0.6729 0.0000  2 Tl 4.04
Tl: 0.5000 0.2534 0.7534  2 Tl 3.00-3.08
Tl: 0.5000 0.7466 0.2466  2 Tl 3.00-3.08

Its energy above the most stable polymorph in this dataset is 0.058 eV per atom. Its symmetry is Immm, No. 71. Its crystal system is orthorhombic.

---

Record 8
A plane-wave DFT calculation with PBE was carried out for crystalline NaPaZnS4 at its relaxed geometry.

abc: 7.7943 7.7943 7.7943
angles: 123.27 116.41 90.38
Closest atoms and distances in Å follow each position.
Element x y z (fractional)
Na: 0.5000 0.0000 0.0000  6 S 2.83-2.84
Na: 0.5000 0.5000 0.5000  6 S 2.83-2.84
Pa: 0.0000 0.0000 0.0000  6 S 2.57-2.72
Pa: 0.5000 0.0000 0.5000  6 S 2.57-2.72
Zn: 0.0994 0.3494 0.7500  4 S 2.34-2.48
Zn: 0.9006 0.6506 0.2500  4 S 2.34-2.48
S: 0.2224 0.2336 0.9888  1 Zn 2.34, 1 Pa 2.57
S: 0.2425 0.2331 0.4906  1 Zn 2.48, 2 Pa 2.72
S: 0.2425 0.7519 0.0094  1 Zn 2.48, 2 Pa 2.72
S: 0.2552 0.7664 0.4888  1 Zn 2.34, 1 Pa 2.57
S: 0.7448 0.2336 0.5112  1 Zn 2.34, 1 Pa 2.57
S: 0.7575 0.2481 0.9906  1 Zn 2.48, 2 Pa 2.72
S: 0.7575 0.7669 0.5094  1 Zn 2.48, 2 Pa 2.72
S: 0.7776 0.7664 0.0112  1 Zn 2.34, 1 Pa 2.57

Its symmetry is Imma, No. 74. The formation energy from raw total energies comes out at -115 kJ/mol of atoms. Its crystal system is orthorhombic.

---

Record 9
A plane-wave DFT calculation with PBE was carried out for crystalline NiTe2CN at its relaxed geometry.

abc: 5.9437 5.9437 2.6107
angles: 90.00 90.00 90.00
Closest atoms and distances in Å follow each position.
Element x y z (fractional)
Ni: 0.0000 0.0000 0.0000  2 Ni 2.61
Te: 0.0000 0.5000 0.5000  2 Te 2.61
Te: 0.5000 0.0000 0.5000  2 Te 2.61
C: 0.5000 0.5000 0.5000  2 N 1.31
N: 0.5000 0.5000 0.0000  2 C 1.31

Its energy above the most stable polymorph in this dataset is 0.000 eV per atom. Its symmetry is P4/mmm, No. 123. The formation energy from raw total energies comes out at 106 kJ/mol of atoms. Its crystal system is tetragonal.

---

Record 10
A plane-wave DFT calculation with PBE was carried out for crystalline Li3Mn at its relaxed geometry.

abc: 5.2553 5.2553 5.2553
angles: 90.00 90.00 90.00
Closest atoms and distances in Å follow each position.
Element x y z (fractional)
Li: 0.0000 0.0000 0.5000  2 Mn 2.63
Li: 0.0000 0.5000 0.0000  2 Mn 2.63
Li: 0.5000 0.0000 0.0000  2 Mn 2.63
Mn: 0.0000 0.0000 0.0000  6 Li 2.63

The value obtained for the total energy is -2.72 eV per atom. Its symmetry is Pm-3m, No. 221. Its crystal system is cubic.

---

Density
In order: 8.4 7.1 5.4 12.9 5.9 7.4 3.3 4.4 6.1 0.9
Unit: g cm⁻³
Total moment
In order: 0.003 0.002 1.085 0.000 0.000 2.429 0.000 0.000 0.394 4.687
Unit: μB per formula unit